No. 1
Entry from Alexandria via LeMat-Bulk: an optimized crystal structure of InMo2Cl (GGA-PBE).

Summary:
The total energy is -6.237 eV/atom. The energy above the most stable polymorph in this dataset is 0.81 eV per formula unit. For the uncorrected formation energy, the calculation gives 0.325 eV/atom. Its space-group type is C2/m, No. 12.

a b c (Å): 5.3824 5.3824 7.5696
angles (deg): 124.27 124.27 33.79
Closest atoms and distances in Å follow each position.
Atoms (fractional coordinates):
In 0.0000 0.0000 0.0000  6 Mo 2.94-2.96, 2 In 3.13
Mo 0.2123 0.2123 0.8565  2 Mo 2.40
Mo 0.7877 0.7877 0.1435  2 Mo 2.40
Cl 0.5000 0.5000 0.5000  4 Mo 2.75

***

No. 2
Entry from Alexandria via LeMat-Bulk: an optimized crystal structure of Ce4Ga3Pd (GGA-PBE).

Summary:
The total energy is -5.242 eV/atom. The energy above the most stable polymorph in this dataset is 0.00 eV per formula unit. Its space-group type is P4/mmm, No. 123. The energy of formation is -491 meV per atom.

a b c (Å): 3.8316 3.8316 12.6662
angles (deg): 90.00 90.00 90.00
Closest atoms and distances in Å follow each position.
Atoms (fractional coordinates):
Ce 0.0000 0.0000 0.1247  2 Ce 3.10-3.16, 4 Ga 3.11, 4 Pd 3.14
Ce 0.0000 0.0000 0.3698  2 Ce 3.10-3.30, 8 Ga 3.13-3.17
Ce 0.0000 0.0000 0.6302  2 Ce 3.10-3.30, 8 Ga 3.13-3.17
Ce 0.0000 0.0000 0.8753  2 Ce 3.10-3.16, 4 Ga 3.11, 4 Pd 3.14
Ga 0.5000 0.5000 0.2455  1 Pd 3.11, 8 Ce 3.11-3.13, 1 Ga 3.22
Ga 0.5000 0.5000 0.5000  8 Ce 3.17, 2 Ga 3.22
Ga 0.5000 0.5000 0.7545  1 Pd 3.11, 8 Ce 3.11-3.13, 1 Ga 3.22
Pd 0.5000 0.5000 0.0000  2 Ga 3.11, 8 Ce 3.14

***

- The lowest energy above the most stable polymorph in this dataset belongs to which entry?
  Ce4Ga3Pd